Below is an optimized crystal structure of Na2Y2ZrSe6, with properties calculated at the PBE level.

Calculated values
Calculated volume = 302.24 Å³ per cell
Magnetization = 0.000 μB/f.u.
Uncorrected formation energy = -1693 kJ/mol of formula units
Space group = C2/m (12)

Lattice parameters (Å, degrees): 6.997 6.997 7.477 99.15 99.15 119.53
Fractional coordinates of all 11 atoms:
Na 0.830 0.170 0.000
Na 0.170 0.830 0.000
Y 0.333 0.667 0.500
Y 0.667 0.333 0.500
Zr 0.000 0.000 0.500
Se 0.758 0.758 0.722
Se 0.075 0.394 0.724
Se 0.242 0.242 0.278
Se 0.394 0.075 0.724
Se 0.925 0.606 0.276
Se 0.606 0.925 0.276

Below is an optimized crystal structure of DyThTe2, with properties calculated at the PBE level.

Calculated values
Calculated volume = 243.86 Å³ per cell
Magnetization = 0.000 μB/f.u.
Uncorrected formation energy = -432 kJ/mol of formula units
Space group = I4_1/amd (141)

Lattice parameters (Å, degrees): 6.260 6.260 7.636 114.20 114.20 90.00
Fractional coordinates of all 8 atoms:
Dy 0.500 0.500 0.000
Dy 0.250 0.750 0.500
Th 0.750 0.250 0.500
Th 0.000 0.000 0.000
Te 0.745 0.745 0.490
Te 0.495 0.995 0.990
Te 0.255 0.255 0.510
Te 0.005 0.505 0.010